1.
Compound: Tc3C
Source: Alexandria
Functional: GGA-PBE
Structure: relaxed

Calculated values
- energy of formation from the pure elements (eV per atom) = 1.17
- calculated total energy (Ha/atom) = -0.3276
- polymorph energy (0 for the lowest one) (meV/atom) = 1156

a b c (Å): 5.044 5.044 9.308
angles (deg): 90.00 90.00 120.00
Fractional positions:
Tc  0.000  0.500  0.000
Tc  0.000  0.500  0.500
Tc  0.163  0.326  0.250
Tc  0.163  0.837  0.250
Tc  0.326  0.163  0.750
Tc  0.500  0.000  0.000
Tc  0.500  0.000  0.500
Tc  0.500  0.500  0.000
Tc  0.500  0.500  0.500
Tc  0.674  0.837  0.250
Tc  0.837  0.163  0.750
Tc  0.837  0.674  0.750
C  0.000  0.000  0.000
C  0.000  0.000  0.500
C  0.333  0.667  0.750
C  0.667  0.333  0.250

***

2.
Compound: Tc3C5
Source: Alexandria
Functional: GGA-PBE
Structure: relaxed

Calculated values
- energy of formation from the pure elements (eV per atom) = 0.96
- calculated total energy (Ha/atom) = -0.3195
- polymorph energy (0 for the lowest one) (meV/atom) = 241

a b c (Å): 6.167 6.167 5.595
angles (deg): 101.39 101.39 119.99
Fractional positions:
Tc  0.000  0.000  0.000
Tc  0.215  0.215  0.520
Tc  0.349  0.761  0.734
Tc  0.483  0.743  0.267
Tc  0.743  0.483  0.267
Tc  0.761  0.349  0.734
C  0.083  0.449  0.369
C  0.345  0.964  0.096
C  0.356  0.356  0.244
C  0.391  0.521  0.892
C  0.449  0.083  0.369
C  0.521  0.391  0.892
C  0.673  0.806  0.654
C  0.806  0.673  0.654
C  0.878  0.878  0.280
C  0.964  0.345  0.096

***

3.
Compound: TcC2
Source: Alexandria
Functional: GGA-PBE
Structure: relaxed

Calculated values
- energy of formation from the pure elements (eV per atom) = 1.50
- calculated total energy (Ha/atom) = -0.2977
- polymorph energy (0 for the lowest one) (meV/atom) = 1047

a b c (Å): 3.884 3.884 3.884
angles (deg): 138.36 138.36 60.35
Fractional positions:
Tc  0.000  0.000  0.000
C  0.333  0.333  0.000
C  0.667  0.667  0.000

***

4.
Compound: TcC2
Source: Alexandria
Functional: GGA-PBE
Structure: relaxed

Calculated values
- energy of formation from the pure elements (eV per atom) = 1.09
- calculated total energy (Ha/atom) = -0.3129
- polymorph energy (0 for the lowest one) (meV/atom) = 634

a b c (Å): 3.858 3.858 3.858
angles (deg): 52.86 52.86 52.86
Fractional positions:
Tc  0.000  0.000  0.000
C  0.209  0.209  0.209
C  0.352  0.352  0.352

***

5.
Compound: Tc8C
Source: Alexandria
Functional: GGA-PBE
Structure: relaxed

Calculated values
- energy of formation from the pure elements (eV per atom) = 0.50
- calculated total energy (Ha/atom) = -0.3579

a b c (Å): 6.017 6.017 6.017
angles (deg): 95.77 95.77 143.04
Fractional positions:
Tc  0.000  0.333  0.333
Tc  0.000  0.667  0.667
Tc  0.333  0.000  0.333
Tc  0.337  0.337  0.674
Tc  0.337  0.663  0.000
Tc  0.663  0.337  0.000
Tc  0.663  0.663  0.326
Tc  0.667  0.000  0.667
C  0.000  0.000  0.000

***

6.
Compound: TcC4
Source: Alexandria
Functional: GGA-PBE
Structure: relaxed

Calculated values
- energy of formation from the pure elements (eV per atom) = 2.74
- calculated total energy (Ha/atom) = -0.2465
- polymorph energy (0 for the lowest one) (meV/atom) = 0

a b c (Å): 4.092 4.092 4.092
angles (deg): 109.47 109.47 109.47
Fractional positions:
Tc  0.000  0.000  0.000
C  0.000  0.000  0.500
C  0.000  0.500  0.000
C  0.500  0.000  0.000
C  0.500  0.500  0.500

***

7.
Compound: TcC2
Source: Alexandria
Functional: GGA-PBE
Structure: relaxed

Calculated values
- energy of formation from the pure elements (eV per atom) = 1.49
- calculated total energy (Ha/atom) = -0.2983
- polymorph energy (0 for the lowest one) (meV/atom) = 1030

a b c (Å): 14.212 14.212 14.212
angles (deg): 169.04 169.04 15.53
Fractional positions:
Tc  0.315  0.565  0.750
Tc  0.435  0.685  0.750
Tc  0.565  0.315  0.250
Tc  0.685  0.435  0.250
C  0.014  0.764  0.250
C  0.124  0.374  0.750
C  0.236  0.986  0.250
C  0.374  0.124  0.250
C  0.626  0.876  0.750
C  0.764  0.014  0.750
C  0.876  0.626  0.250
C  0.986  0.236  0.750

***

8.
Compound: TcC2
Source: Alexandria
Functional: GGA-PBE
Structure: relaxed

Calculated values
- energy of formation from the pure elements (eV per atom) = 0.76
- calculated total energy (Ha/atom) = -0.3250
- polymorph energy (0 for the lowest one) (meV/atom) = 305

a b c (Å): 2.935 2.935 12.857
angles (deg): 90.00 90.00 120.00
Fractional positions:
Tc  0.000  0.000  0.000
Tc  0.333  0.667  0.352
Tc  0.667  0.333  0.648
C  0.000  0.000  0.446
C  0.000  0.000  0.554
C  0.333  0.667  0.104
C  0.333  0.667  0.207
C  0.667  0.333  0.793
C  0.667  0.333  0.896

***

9.
Compound: TcC5
Source: Alexandria
Functional: GGA-PBE
Structure: relaxed

Calculated values
- energy of formation from the pure elements (eV per atom) = 1.13
- calculated total energy (Ha/atom) = -0.3045
- polymorph energy (0 for the lowest one) (meV/atom) = 408

a b c (Å): 2.633 6.928 6.928
angles (deg): 22.68 90.00 90.00
Fractional positions:
Tc  0.000  0.000  0.000
C  0.000  0.377  0.377
C  0.000  0.689  0.689
C  0.500  0.318  0.318
C  0.500  0.550  0.550
C  0.500  0.745  0.745

***

10.
Compound: TcC
Source: Alexandria
Functional: GGA-PBE
Structure: relaxed

Calculated values
- energy of formation from the pure elements (eV per atom) = 0.43
- calculated total energy (Ha/atom) = -0.3441
- polymorph energy (0 for the lowest one) (meV/atom) = 211

a b c (Å): 8.382 8.382 3.513
angles (deg): 90.00 90.00 90.00
Fractional positions:
Tc  0.099  0.632  0.000
Tc  0.142  0.295  0.500
Tc  0.295  0.858  0.500
Tc  0.368  0.099  0.000
Tc  0.632  0.901  0.000
Tc  0.705  0.142  0.500
Tc  0.858  0.705  0.500
Tc  0.901  0.368  0.000
C  0.088  0.756  0.500
C  0.157  0.405  0.000
C  0.244  0.088  0.500
C  0.405  0.843  0.000
C  0.595  0.157  0.000
C  0.756  0.912  0.500
C  0.843  0.595  0.000
C  0.912  0.244  0.500

***

11.
Compound: TcC5
Source: Alexandria
Functional: GGA-PBE
Structure: relaxed

Calculated values
- energy of formation from the pure elements (eV per atom) = 0.72
- calculated total energy (Ha/atom) = -0.3195
- polymorph energy (0 for the lowest one) (meV/atom) = 0

a b c (Å): 2.557 6.771 6.771
angles (deg): 22.10 90.00 90.00
Fractional positions:
Tc  0.000  0.000  0.000
C  0.000  0.327  0.327
C  0.000  0.760  0.760
C  0.500  0.128  0.128
C  0.500  0.396  0.396
C  0.500  0.691  0.691

***

12.
Compound: TcC
Source: Alexandria
Functional: GGA-PBE
Structure: relaxed

Calculated values
- energy of formation from the pure elements (eV per atom) = 0.47
- calculated total energy (Ha/atom) = -0.3427
- polymorph energy (0 for the lowest one) (meV/atom) = 251

a b c (Å): 7.367 7.367 3.551
angles (deg): 90.00 90.00 120.00
Fractional positions:
Tc  0.024  0.652  0.250
Tc  0.348  0.372  0.250
Tc  0.372  0.024  0.750
Tc  0.628  0.976  0.250
Tc  0.652  0.628  0.750
Tc  0.976  0.348  0.750
C  0.123  0.437  0.250
C  0.314  0.877  0.250
C  0.437  0.314  0.750
C  0.563  0.686  0.250
C  0.686  0.123  0.750
C  0.877  0.563  0.750

***

13.
Compound: Tc3C5
Source: Alexandria
Functional: GGA-PBE
Structure: relaxed

Calculated values
- energy of formation from the pure elements (eV per atom) = 1.56
- calculated total energy (Ha/atom) = -0.2975
- polymorph energy (0 for the lowest one) (meV/atom) = 839

a b c (Å): 4.316 4.316 3.959
angles (deg): 90.00 90.00 98.33
Fractional positions:
Tc  0.000  0.000  0.000
Tc  0.285  0.715  0.500
Tc  0.715  0.285  0.500
C  0.000  0.500  0.000
C  0.187  0.187  0.500
C  0.500  0.000  0.000
C  0.500  0.500  0.000
C  0.813  0.813  0.500

***

14.
Compound: TcC3
Source: Alexandria
Functional: GGA-PBE
Structure: relaxed

Calculated values
- energy of formation from the pure elements (eV per atom) = 1.84
- calculated total energy (Ha/atom) = -0.2817
- polymorph energy (0 for the lowest one) (meV/atom) = 1062

a b c (Å): 5.395 5.395 5.395
angles (deg): 28.43 28.43 28.43
Fractional positions:
Tc  0.000  0.000  0.000
C  0.231  0.231  0.231
C  0.500  0.500  0.500
C  0.769  0.769  0.769

***

15.
Compound: TcC3
Source: Alexandria
Functional: GGA-PBE
Structure: relaxed

Calculated values
- energy of formation from the pure elements (eV per atom) = 1.11
- calculated total energy (Ha/atom) = -0.3088
- polymorph energy (0 for the lowest one) (meV/atom) = 325

a b c (Å): 5.445 5.445 3.954
angles (deg): 90.00 90.00 141.12
Fractional positions:
Tc  0.084  0.916  0.750
Tc  0.916  0.084  0.250
C  0.192  0.808  0.250
C  0.209  0.397  0.750
C  0.397  0.209  0.250
C  0.603  0.791  0.750
C  0.791  0.603  0.250
C  0.808  0.192  0.750

***

16.
Compound: TcC
Source: Alexandria
Functional: GGA-PBE
Structure: relaxed

Calculated values
- energy of formation from the pure elements (eV per atom) = 1.07
- calculated total energy (Ha/atom) = -0.3206
- polymorph energy (0 for the lowest one) (meV/atom) = 852

a b c (Å): 7.935 7.935 7.935
angles (deg): 21.94 21.94 21.94
Fractional positions:
Tc  0.116  0.116  0.116
Tc  0.884  0.884  0.884
C  0.411  0.411  0.411
C  0.589  0.589  0.589

***

17.
Compound: Tc4C3
Source: Alexandria
Functional: GGA-PBE
Structure: relaxed

Calculated values
- energy of formation from the pure elements (eV per atom) = 0.56
- calculated total energy (Ha/atom) = -0.3422
- polymorph energy (0 for the lowest one) (meV/atom) = 61

a b c (Å): 9.749 9.749 9.749
angles (deg): 163.52 163.52 23.38
Fractional positions:
Tc  0.066  0.066  0.000
Tc  0.327  0.327  0.000
Tc  0.673  0.673  0.000
Tc  0.934  0.934  0.000
C  0.211  0.211  0.000
C  0.500  0.500  0.000
C  0.789  0.789  0.000

***

18.
Compound: TcC2
Source: Alexandria
Functional: GGA-PBE
Structure: relaxed

Calculated values
- energy of formation from the pure elements (eV per atom) = 0.46
- calculated total energy (Ha/atom) = -0.3362
- polymorph energy (0 for the lowest one) (meV/atom) = 0

a b c (Å): 2.872 2.872 4.034
angles (deg): 90.00 90.00 120.00
Fractional positions:
Tc  0.000  0.000  0.000
C  0.667  0.333  0.330
C  0.667  0.333  0.670

***

19.
Compound: TcC3
Source: Alexandria
Functional: GGA-PBE
Structure: relaxed

Calculated values
- energy of formation from the pure elements (eV per atom) = 2.19
- calculated total energy (Ha/atom) = -0.2690
- polymorph energy (0 for the lowest one) (meV/atom) = 1407

a b c (Å): 4.023 4.023 4.023
angles (deg): 90.00 90.00 90.00
Fractional positions:
Tc  0.000  0.000  0.000
Tc  0.500  0.500  0.500
C  0.000  0.250  0.500
C  0.000  0.750  0.500
C  0.250  0.500  0.000
C  0.500  0.000  0.250
C  0.500  0.000  0.750
C  0.750  0.500  0.000

***

20.
Compound: Tc3C
Source: Alexandria
Functional: GGA-PBE
Structure: relaxed

Calculated values
- energy of formation from the pure elements (eV per atom) = 0.33
- calculated total energy (Ha/atom) = -0.3583
- polymorph energy (0 for the lowest one) (meV/atom) = 322

a b c (Å): 2.876 2.932 6.244
angles (deg): 90.00 103.10 90.00
Fractional positions:
Tc  0.000  0.000  0.000
Tc  0.331  0.500  0.703
Tc  0.669  0.500  0.297
C  0.000  0.000  0.500